PuUTaN3 | PBE | optimized geometry

Cell lengths 7.0436, 3.2205, 8.0650 Å; angles 90.00, 94.41, 90.00 degrees
With the nearest neighbours (Å) after each atom.
Fractional coordinates of all 12 atoms:
Pu1 0.1118 0.2500 0.3417  7 N 2.48-2.61
Pu2 0.8882 0.7500 0.6583  7 N 2.48-2.61
U1 0.4040 0.7500 0.6715  5 N 2.19-2.32
U2 0.5960 0.2500 0.3285  5 N 2.19-2.32
Ta1 0.1607 0.2500 0.9429  4 N 2.09-2.24
Ta2 0.8393 0.7500 0.0571  4 N 2.09-2.24
N1 0.1340 0.7500 0.1104  3 Ta 2.09-2.12
N2 0.1676 0.2500 0.6655  1 Ta 2.24, 2 U 2.31
N3 0.3800 0.7500 0.3995  3 U 2.19-2.32
N4 0.6200 0.2500 0.6005  3 U 2.19-2.32
N5 0.8324 0.7500 0.3345  1 Ta 2.24, 2 U 2.31
N6 0.8660 0.2500 0.8896  3 Ta 2.09-2.12

Values from the calculation:
Size of the total moment in μB/f.u.: 6.3
Calculated total energy in eV/f.u.: -68.09
Formation energy (no corrections) in eV per atom: -0.941